Entry 1:
Density functional theory data (PBE) for an optimized crystal structure of Y5TmBi4.

Cell and atoms, written as POSCAR:
```
Y5TmBi4
1.0
9.465 -2.194 0.000
9.465 2.194 0.000
-2.336 0.000 8.171
Y Tm Bi
5 1 4
Direct
0.000 0.000 0.000 Y
0.318 0.318 0.148 Y
0.337 0.337 0.689 Y
0.663 0.663 0.311 Y
0.682 0.682 0.852 Y
0.000 0.000 0.500 Tm
0.168 0.168 0.580 Bi
0.490 0.490 0.243 Bi
0.510 0.510 0.757 Bi
0.832 0.832 0.420 Bi
```

Properties
Calculated formation energy (eV per atom): -0.5021
Size of the total moment (μB per formula unit): 0.0
Space-group type: No. 12


Entry 2:
Density functional theory data (PBE) for an optimized crystal structure of YTmBi.

Cell and atoms, written as POSCAR:
```
YTmBi
1.0
5.240 0.000 0.000
-2.620 4.538 0.000
0.000 0.000 3.832
Y Tm Bi
1 1 1
Direct
0.000 0.000 0.000 Y
0.333 0.667 0.470 Tm
0.667 0.333 0.711 Bi
```

Properties
Calculated formation energy (eV per atom): -0.2640
Size of the total moment (μB per formula unit): 0.0
Space-group type: No. 156


Entry 3:
Density functional theory data (PBE) for an optimized crystal structure of Y5Tm2Bi4.

Cell and atoms, written as POSCAR:
```
Y5Tm2Bi4
1.0
12.950 -2.038 0.000
12.950 2.038 0.000
-0.163 0.000 7.058
Y Tm Bi
5 2 4
Direct
0.000 0.000 0.000 Y
0.353 0.353 0.806 Y
0.408 0.408 0.291 Y
0.592 0.592 0.709 Y
0.647 0.647 0.194 Y
0.263 0.263 0.209 Tm
0.737 0.737 0.791 Tm
0.174 0.174 0.526 Bi
0.467 0.467 0.695 Bi
0.533 0.533 0.305 Bi
0.826 0.826 0.474 Bi
```

Properties
Calculated formation energy (eV per atom): -0.2931
Size of the total moment (μB per formula unit): 0.6
Space-group type: No. 12


Entry 4:
Density functional theory data (PBE) for an optimized crystal structure of Y5Tm3Bi8.

Cell and atoms, written as POSCAR:
```
Y5Tm3Bi8
1.0
4.465 2.578 7.291
-4.465 2.578 7.291
0.000 -5.156 7.291
Y Tm Bi
5 3 8
Direct
0.000 0.000 0.000 Y
0.000 0.500 0.500 Y
0.500 0.000 0.500 Y
0.500 0.500 0.000 Y
0.500 0.500 0.500 Y
0.000 0.000 0.500 Tm
0.000 0.500 0.000 Tm
0.500 0.000 0.000 Tm
0.247 0.750 0.750 Bi
0.249 0.249 0.249 Bi
0.250 0.250 0.753 Bi
0.250 0.753 0.250 Bi
0.750 0.247 0.750 Bi
0.750 0.750 0.247 Bi
0.751 0.751 0.751 Bi
0.753 0.250 0.250 Bi
```

Properties
Calculated formation energy (eV per atom): -0.8532
Size of the total moment (μB per formula unit): 0.0
Space-group type: No. 166


Entry 5:
Density functional theory data (PBE) for an optimized crystal structure of YTmBi2.

Cell and atoms, written as POSCAR:
```
YTmBi2
1.0
4.457 0.000 0.000
0.000 6.303 0.000
0.000 0.000 8.917
Y Tm Bi
2 2 4
Direct
0.250 0.250 0.125 Y
0.750 0.750 0.875 Y
0.250 0.250 0.625 Tm
0.750 0.750 0.375 Tm
0.250 0.750 0.128 Bi
0.250 0.750 0.622 Bi
0.750 0.250 0.378 Bi
0.750 0.250 0.872 Bi
```

Properties
Calculated formation energy (eV per atom): -0.8405
Relative energy among the computed polymorphs (meV per atom): 0
Size of the total moment (μB per formula unit): 0.0
Space-group type: No. 59


Entry 6:
Density functional theory data (PBE) for an optimized crystal structure of Y3TmBi3.

Cell and atoms, written as POSCAR:
```
Y3TmBi3
1.0
9.378 0.000 0.000
0.000 9.378 0.000
0.000 0.000 9.378
Y Tm Bi
12 4 12
Direct
0.071 0.429 0.571 Y
0.176 0.824 0.324 Y
0.177 0.177 0.177 Y
0.323 0.823 0.677 Y
0.324 0.176 0.824 Y
0.429 0.571 0.071 Y
0.571 0.071 0.429 Y
0.676 0.676 0.676 Y
0.677 0.323 0.823 Y
0.823 0.677 0.323 Y
0.824 0.324 0.176 Y
0.929 0.929 0.929 Y
0.074 0.574 0.926 Tm
0.426 0.426 0.426 Tm
0.574 0.926 0.074 Tm
0.926 0.074 0.574 Tm
0.001 0.253 0.874 Bi
0.126 0.501 0.247 Bi
0.247 0.126 0.501 Bi
0.253 0.874 0.001 Bi
0.374 0.499 0.747 Bi
0.499 0.747 0.374 Bi
0.501 0.247 0.126 Bi
0.626 0.999 0.753 Bi
0.747 0.374 0.499 Bi
0.753 0.626 0.999 Bi
0.874 0.001 0.253 Bi
0.999 0.753 0.626 Bi
```

Properties
Calculated formation energy (eV per atom): -0.7354
Relative energy among the computed polymorphs (meV per atom): 0
Size of the total moment (μB per formula unit): 0.0
Space-group type: No. 198


Entry 7:
Density functional theory data (PBE) for an optimized crystal structure of YTm2Bi3.

Cell and atoms, written as POSCAR:
```
YTm2Bi3
1.0
-2.225 3.145 6.677
2.225 -3.145 6.677
2.225 3.145 -6.677
Y Tm Bi
1 2 3
Direct
0.000 0.000 0.000 Y
0.334 0.334 0.000 Tm
0.666 0.666 0.000 Tm
0.169 0.669 0.500 Bi
0.500 0.000 0.500 Bi
0.831 0.331 0.500 Bi
```

Properties
Calculated formation energy (eV per atom): -0.8201
Size of the total moment (μB per formula unit): 0.0
Space-group type: No. 71


Entry 8:
Density functional theory data (PBE) for an optimized crystal structure of YTmBi.

Cell and atoms, written as POSCAR:
```
YTmBi
1.0
6.235 0.000 0.000
0.000 4.244 0.000
-2.823 0.000 7.388
Y Tm Bi
2 2 2
Direct
0.200 0.250 0.402 Y
0.800 0.750 0.598 Y
0.197 0.250 0.946 Tm
0.803 0.750 0.054 Tm
0.348 0.750 0.716 Bi
0.652 0.250 0.284 Bi
```

Properties
Calculated formation energy (eV per atom): -0.4257
Size of the total moment (μB per formula unit): 0.3
Space-group type: No. 11


no.,DOS at the Fermi energy (states/eV per atom)
1,0.667
2,1.083
3,0.969
4,0.195
5,0.151
6,1.208
7,0.204
8,1.168